K3Y3NpSe8 after structural relaxation, computed with PBE.

CIF file:
```
data_K3Y3NpSe8
_symmetry_space_group_name_H-M 'R -3 m'
_symmetry_Int_Tables_number 166
_symmetry_space_group_name_Hall '-R 3 2"'
_cell_length_a 8.3714
_cell_length_b 8.3714
_cell_length_c 23.4070
_cell_angle_alpha 90.00
_cell_angle_beta 90.00
_cell_angle_gamma 120.00
loop_
_atom_site_label
_atom_site_type_symbol
_atom_site_fract_x
_atom_site_fract_y
_atom_site_fract_z
_atom_site_occupancy
K1 K 0.0000 0.5000 0.0000 1
Y1 Y 0.0000 0.5000 0.5000 1
Np1 Np 0.0000 0.0000 0.5000 1
Se1 Se 0.0000 0.0000 0.2349 1
Se2 Se 0.0039 0.5019 0.2334 1
```


K3YNp2Se6 after structural relaxation, computed with PBE.

CIF file:
```
data_K3YNp2Se6
_symmetry_space_group_name_H-M 'C 1 2/m 1'
_symmetry_Int_Tables_number 12
_symmetry_space_group_name_Hall '-C 2y'
_cell_length_a 7.368
_cell_length_b 12.763
_cell_length_c 8.063
_cell_angle_alpha 90.00
_cell_angle_beta 107.73
_cell_angle_gamma 90.00
loop_
_atom_site_label
_atom_site_type_symbol
_atom_site_fract_x
_atom_site_fract_y
_atom_site_fract_z
_atom_site_occupancy
K1 K 0.000 0.000 0.000 1
K2 K 0.000 0.333 0.000 1
Y1 Y 0.000 0.500 0.500 1
Np1 Np 0.000 0.167 0.500 1
Se1 Se 0.235 0.334 0.706 1
Se2 Se 0.237 0.000 0.706 1
```


K2YNpSe4 after structural relaxation, computed with PBE.

CIF file:
```
data_K2YNpSe4
_symmetry_space_group_name_H-M 'P 1 2/m 1'
_symmetry_Int_Tables_number 10
_symmetry_space_group_name_Hall '-P 2y'
_cell_length_a 7.375
_cell_length_b 4.249
_cell_length_c 8.054
_cell_angle_alpha 90.00
_cell_angle_beta 107.80
_cell_angle_gamma 90.00
loop_
_atom_site_label
_atom_site_type_symbol
_atom_site_fract_x
_atom_site_fract_y
_atom_site_fract_z
_atom_site_occupancy
K1 K 0.000 0.000 0.000 1
K2 K 0.500 0.500 0.000 1
Y1 Y 0.000 0.500 0.500 1
Np1 Np 0.500 0.000 0.500 1
Se1 Se 0.232 0.000 0.706 1
Se2 Se 0.262 0.500 0.295 1
```


K4Np3ZnSe8 after structural relaxation, computed with PBE.

CIF file:
```
data_K4Np3ZnSe8
_symmetry_space_group_name_H-M 'C 1 2/m 1'
_symmetry_Int_Tables_number 12
_symmetry_space_group_name_Hall '-C 2y'
_cell_length_a 14.621
_cell_length_b 8.435
_cell_length_c 9.048
_cell_angle_alpha 90.00
_cell_angle_beta 122.59
_cell_angle_gamma 90.00
loop_
_atom_site_label
_atom_site_type_symbol
_atom_site_fract_x
_atom_site_fract_y
_atom_site_fract_z
_atom_site_occupancy
K1 K 0.000 0.000 0.000 1
K2 K 0.000 0.500 0.000 1
K3 K 0.250 0.250 0.000 1
Np1 Np 0.000 0.000 0.500 1
Np2 Np 0.250 0.250 0.500 1
Zn1 Zn 0.000 0.500 0.500 1
Se1 Se 0.015 0.256 0.302 1
Se2 Se 0.230 0.500 0.699 1
Se3 Se 0.235 0.000 0.706 1
```


K3Np2ZnSe6 after structural relaxation, computed with PBE.

CIF file:
```
data_K3Np2ZnSe6
_symmetry_space_group_name_H-M 'C 1 2/m 1'
_symmetry_Int_Tables_number 12
_symmetry_space_group_name_Hall '-C 2y'
_cell_length_a 7.245
_cell_length_b 12.543
_cell_length_c 8.008
_cell_angle_alpha 90.00
_cell_angle_beta 107.54
_cell_angle_gamma 90.00
loop_
_atom_site_label
_atom_site_type_symbol
_atom_site_fract_x
_atom_site_fract_y
_atom_site_fract_z
_atom_site_occupancy
K1 K 0.000 0.000 0.000 1
K2 K 0.000 0.334 0.000 1
Np1 Np 0.000 0.167 0.500 1
Zn1 Zn 0.000 0.500 0.500 1
Se1 Se 0.230 0.337 0.699 1
Se2 Se 0.240 0.000 0.699 1
```


K3ZrNp3Se8 after structural relaxation, computed with PBE.

CIF file:
```
data_K3ZrNp3Se8
_symmetry_space_group_name_H-M 'R -3 m'
_symmetry_Int_Tables_number 166
_symmetry_space_group_name_Hall '-R 3 2"'
_cell_length_a 8.2943
_cell_length_b 8.2943
_cell_length_c 23.4919
_cell_angle_alpha 90.00
_cell_angle_beta 90.00
_cell_angle_gamma 120.00
loop_
_atom_site_label
_atom_site_type_symbol
_atom_site_fract_x
_atom_site_fract_y
_atom_site_fract_z
_atom_site_occupancy
K1 K 0.0000 0.5000 0.0000 1
Zr1 Zr 0.0000 0.0000 0.5000 1
Np1 Np 0.0000 0.5000 0.5000 1
Se1 Se 0.0000 0.0000 0.2355 1
Se2 Se 0.0144 0.5072 0.2326 1
```


K2Zr2NpSe6 after structural relaxation, computed with PBE.

CIF file:
```
data_K2Zr2NpSe6
_symmetry_space_group_name_H-M 'C 1 2/m 1'
_symmetry_Int_Tables_number 12
_symmetry_space_group_name_Hall '-C 2y'
_cell_length_a 6.862
_cell_length_b 11.970
_cell_length_c 8.254
_cell_angle_alpha 90.00
_cell_angle_beta 105.86
_cell_angle_gamma 90.00
loop_
_atom_site_label
_atom_site_type_symbol
_atom_site_fract_x
_atom_site_fract_y
_atom_site_fract_z
_atom_site_occupancy
K1 K 0.000 0.164 0.000 1
Zr1 Zr 0.000 0.333 0.500 1
Np1 Np 0.000 0.000 0.500 1
Se1 Se 0.216 0.500 0.700 1
Se2 Se 0.239 0.173 0.700 1
```


K2ZrNp2Se6 after structural relaxation, computed with PBE.

CIF file:
```
data_K2ZrNp2Se6
_symmetry_space_group_name_H-M 'C 1 2/m 1'
_symmetry_Int_Tables_number 12
_symmetry_space_group_name_Hall '-C 2y'
_cell_length_a 7.103
_cell_length_b 12.215
_cell_length_c 8.238
_cell_angle_alpha 90.00
_cell_angle_beta 106.84
_cell_angle_gamma 90.00
loop_
_atom_site_label
_atom_site_type_symbol
_atom_site_fract_x
_atom_site_fract_y
_atom_site_fract_z
_atom_site_occupancy
K1 K 0.000 0.169 0.000 1
Zr1 Zr 0.000 0.000 0.500 1
Np1 Np 0.000 0.333 0.500 1
Se1 Se 0.228 0.160 0.700 1
Se2 Se 0.249 0.500 0.700 1
```


K3Sm3NpTe8 after structural relaxation, computed with PBE.

CIF file:
```
data_K3Sm3NpTe8
_symmetry_space_group_name_H-M 'R -3 m'
_symmetry_Int_Tables_number 166
_symmetry_space_group_name_Hall '-R 3 2"'
_cell_length_a 9.0403
_cell_length_b 9.0403
_cell_length_c 25.1443
_cell_angle_alpha 90.00
_cell_angle_beta 90.00
_cell_angle_gamma 120.00
loop_
_atom_site_label
_atom_site_type_symbol
_atom_site_fract_x
_atom_site_fract_y
_atom_site_fract_z
_atom_site_occupancy
K1 K 0.0000 0.5000 0.0000 1
Sm1 Sm 0.0000 0.5000 0.5000 1
Np1 Np 0.0000 0.0000 0.5000 1
Te1 Te 0.0000 0.0000 0.2375 1
Te2 Te 0.0061 0.5031 0.2356 1
```


K4SmNp3Te8 after structural relaxation, computed with PBE.

CIF file:
```
data_K4SmNp3Te8
_symmetry_space_group_name_H-M 'R -3 m'
_symmetry_Int_Tables_number 166
_symmetry_space_group_name_Hall '-R 3 2"'
_cell_length_a 9.1427
_cell_length_b 9.1427
_cell_length_c 24.6308
_cell_angle_alpha 90.00
_cell_angle_beta 90.00
_cell_angle_gamma 120.00
loop_
_atom_site_label
_atom_site_type_symbol
_atom_site_fract_x
_atom_site_fract_y
_atom_site_fract_z
_atom_site_occupancy
K1 K 0.0000 0.0000 0.0000 1
K2 K 0.0000 0.5000 0.0000 1
Sm1 Sm 0.0000 0.0000 0.5000 1
Np1 Np 0.0000 0.5000 0.5000 1
Te1 Te 0.0000 0.0000 0.2361 1
Te2 Te 0.0008 0.5004 0.7630 1
```


K3SmNp3Te8 after structural relaxation, computed with PBE.

CIF file:
```
data_K3SmNp3Te8
_symmetry_space_group_name_H-M 'C 1 2/m 1'
_symmetry_Int_Tables_number 12
_symmetry_space_group_name_Hall '-C 2y'
_cell_length_a 15.653
_cell_length_b 9.046
_cell_length_c 9.803
_cell_angle_alpha 90.00
_cell_angle_beta 122.02
_cell_angle_gamma 90.00
loop_
_atom_site_label
_atom_site_type_symbol
_atom_site_fract_x
_atom_site_fract_y
_atom_site_fract_z
_atom_site_occupancy
K1 K 0.000 0.000 0.000 1
K2 K 0.250 0.250 0.000 1
Sm1 Sm 0.000 0.000 0.500 1
Np1 Np 0.000 0.500 0.500 1
Np2 Np 0.250 0.250 0.500 1
Te1 Te 0.015 0.254 0.291 1
Te2 Te 0.237 0.500 0.710 1
Te3 Te 0.239 0.000 0.708 1
```


K3NpSn2Te6 after structural relaxation, computed with PBE.

CIF file:
```
data_K3NpSn2Te6
_symmetry_space_group_name_H-M 'C 1 2/m 1'
_symmetry_Int_Tables_number 12
_symmetry_space_group_name_Hall '-C 2y'
_cell_length_a 7.995
_cell_length_b 13.841
_cell_length_c 8.501
_cell_angle_alpha 90.00
_cell_angle_beta 108.26
_cell_angle_gamma 90.00
loop_
_atom_site_label
_atom_site_type_symbol
_atom_site_fract_x
_atom_site_fract_y
_atom_site_fract_z
_atom_site_occupancy
K1 K 0.000 0.000 0.000 1
K2 K 0.000 0.327 0.000 1
Np1 Np 0.000 0.500 0.500 1
Sn1 Sn 0.000 0.165 0.500 1
Te1 Te 0.227 0.341 0.704 1
Te2 Te 0.249 0.500 0.294 1
```


Taking the records one at a time from the top gives energy relative to the elements, uncorrected values of -1.633 -1.421 -1.505 -1.132 -1.091 -1.285 -1.337 -1.291 -1.238 -1.020 -0.960 -0.700 eV/atom.
Taking the records one at a time from the top gives total magnetic moment values of 9.000 16.000 4.000 21.999 14.000 36.001 9.974 16.000 8.989 36.000 7.461 4.240 μB per cell.